Record 1
VASP calculation (meta-GGA SCAN) on a PBEsol-optimized structure of K2NaBP2.

```
K2NaBP2
1.0
4.937 0.000 0.000
2.469 6.228 0.014
2.469 0.151 10.309
P K B Na
4 4 2 2
Direct
0.335 0.240 0.091
0.466 0.695 0.372
0.665 0.760 0.909
0.534 0.305 0.628
0.983 0.857 0.178
0.176 0.239 0.410
0.017 0.143 0.822
0.824 0.761 0.590
0.500 0.500 0.500
0.500 0.000 0.000
0.298 0.537 0.866
0.702 0.463 0.134
```

Output
Total magnetic moment ... 0.00 μB per formula unit
Calculated density ... 1.8 g/cm3
DFT formation energy ... -51 kJ/mol of atoms
Symmetry ... No. 12

Record 2
VASP calculation (meta-GGA SCAN) on a PBEsol-optimized structure of KNb3B.

```
KNb3B
1.0
-2.816 -3.455 -0.150
2.919 -2.271 -2.493
1.855 -1.673 3.695
Nb B K
3 1 1
Direct
0.000 0.500 0.000
0.000 0.000 0.500
0.500 0.000 0.000
0.500 0.500 0.500
0.000 0.000 0.000
```

Output
Total magnetic moment ... 0.00 μB per formula unit
Calculated density ... 6.2 g/cm3
DFT formation energy ... 322 kJ/mol of atoms
Symmetry ... No. 221

Record 3
VASP calculation (meta-GGA SCAN) on a PBEsol-optimized structure of K3Nb3B2O12.

```
K3Nb3B2O12
1.0
-0.329 -1.798 3.518
3.226 -13.466 -6.580
17.239 2.675 2.978
K Nb B O
12 12 8 48
Direct
0.494 0.298 0.884
0.502 0.798 0.134
0.498 0.202 0.634
0.498 0.798 0.634
0.505 0.500 0.081
0.506 0.702 0.384
0.513 0.000 0.331
0.506 0.298 0.384
0.494 0.702 0.884
0.487 0.000 0.831
0.502 0.202 0.134
0.495 0.500 0.581
0.975 0.124 0.971
0.985 0.624 0.721
0.033 0.000 0.156
0.025 0.876 0.471
0.985 0.376 0.721
0.975 0.876 0.971
0.967 0.000 0.656
0.015 0.376 0.221
0.987 0.500 0.907
0.015 0.624 0.221
0.025 0.124 0.471
0.013 0.500 0.407
0.003 0.667 0.033
0.992 0.167 0.283
0.008 0.833 0.783
0.997 0.333 0.533
0.003 0.333 0.033
0.008 0.167 0.783
0.992 0.833 0.283
0.997 0.667 0.533
0.998 0.094 0.738
0.004 0.090 0.078
0.494 0.000 0.665
0.992 0.842 0.360
0.022 0.594 0.988
0.992 0.158 0.360
0.002 0.094 0.238
0.982 0.752 0.251
0.000 0.000 0.943
0.018 0.248 0.751
0.995 0.748 0.501
0.502 0.132 0.967
0.981 0.658 0.110
0.513 0.368 0.717
0.515 0.500 0.915
0.498 0.132 0.467
0.981 0.342 0.110
0.996 0.910 0.578
0.005 0.748 0.001
0.498 0.868 0.467
0.502 0.868 0.967
0.487 0.368 0.217
0.000 0.000 0.443
0.982 0.248 0.251
0.004 0.910 0.078
0.012 0.590 0.828
0.506 0.000 0.165
0.996 0.090 0.578
0.002 0.906 0.238
0.012 0.410 0.828
0.988 0.590 0.328
0.022 0.406 0.988
0.019 0.342 0.610
0.487 0.632 0.217
0.998 0.906 0.738
0.989 0.500 0.193
0.018 0.752 0.751
0.485 0.500 0.415
0.978 0.406 0.488
0.019 0.658 0.610
0.513 0.632 0.717
0.995 0.252 0.501
0.008 0.842 0.860
0.988 0.410 0.328
0.008 0.158 0.860
0.978 0.594 0.488
0.005 0.252 0.001
0.011 0.500 0.693
```

Output
Energy relative to the lowest polymorph listed for this composition ... 0.00 eV per formula unit
Total magnetic moment ... 0.00 μB per formula unit
Calculated density ... 3.8 g/cm3
Symmetry ... No. 26
ΔE_f (raw) ... -2.675 eV/atom

Record 4
VASP calculation (meta-GGA SCAN) on a PBEsol-optimized structure of K3Nb3B2O12.

```
K3Nb3B2O12
1.0
-0.482 -0.656 3.843
8.801 -0.199 1.071
-4.387 7.670 0.758
K Nb B O
3 3 2 12
Direct
0.500 0.596 0.596
0.500 0.404 0.000
0.500 0.000 0.404
0.000 0.247 0.247
0.000 0.753 0.000
0.000 0.000 0.753
0.000 0.333 0.667
0.000 0.667 0.333
0.000 0.811 0.496
0.000 0.315 0.504
0.000 0.189 0.685
0.000 0.496 0.811
0.000 0.685 0.189
0.000 0.504 0.315
0.500 0.266 0.266
0.500 0.734 0.000
0.500 0.000 0.734
0.000 0.821 0.821
0.000 0.179 0.000
0.000 0.000 0.179
```

Output
Energy relative to the lowest polymorph listed for this composition ... 0.05 eV per formula unit
Total magnetic moment ... 0.00 μB per formula unit
Calculated density ... 3.8 g/cm3
Symmetry ... No. 189
ΔE_f (raw) ... -2.673 eV/atom

Record 5
VASP calculation (meta-GGA SCAN) on a PBEsol-optimized structure of KSrNbB2.

```
KSrNbB2
1.0
4.757 0.000 0.000
0.000 4.757 0.000
0.000 0.000 5.056
Sr Nb B K
1 1 2 1
Direct
0.000 0.000 0.000
0.500 0.500 0.500
0.000 0.500 0.000
0.500 0.000 0.000
0.000 0.000 0.500
```

Output
Total magnetic moment ... 2.75 μB per formula unit
Calculated density ... 3.5 g/cm3
DFT formation energy ... 244 kJ/mol of atoms
Symmetry ... No. 123

Record 6
VASP calculation (meta-GGA SCAN) on a PBEsol-optimized structure of K3NdB2O6.

```
K3NdB2O6
1.0
7.183 0.000 0.000
0.000 9.020 0.000
0.000 0.000 11.148
K Nd B O
12 4 8 24
Direct
0.750 0.060 0.133
0.250 0.940 0.867
0.250 0.440 0.633
0.750 0.560 0.367
0.499 0.304 0.905
0.501 0.696 0.095
0.501 0.196 0.405
0.999 0.696 0.095
0.499 0.804 0.595
0.001 0.304 0.905
0.001 0.804 0.595
0.999 0.196 0.405
0.750 0.129 0.670
0.250 0.871 0.330
0.250 0.371 0.170
0.750 0.629 0.830
0.750 0.440 0.623
0.250 0.560 0.377
0.250 0.060 0.123
0.750 0.940 0.877
0.750 0.410 0.117
0.250 0.590 0.883
0.250 0.090 0.617
0.750 0.910 0.383
0.918 0.371 0.170
0.082 0.629 0.830
0.082 0.129 0.670
0.418 0.629 0.830
0.918 0.871 0.330
0.582 0.371 0.170
0.582 0.871 0.330
0.418 0.129 0.670
0.750 0.492 0.011
0.250 0.508 0.989
0.250 0.008 0.511
0.750 0.992 0.489
0.750 0.382 0.741
0.250 0.618 0.259
0.250 0.118 0.241
0.750 0.882 0.759
0.750 0.341 0.530
0.250 0.659 0.470
0.250 0.159 0.030
0.750 0.841 0.970
0.750 0.092 0.889
0.250 0.908 0.111
0.250 0.408 0.389
0.750 0.592 0.611
```

Output
Total magnetic moment ... 0.00 μB per formula unit
Calculated density ... 3.5 g/cm3
Symmetry ... No. 62
ΔE_f (raw) ... -2.697 eV/atom

Record 7
VASP calculation (meta-GGA SCAN) on a PBEsol-optimized structure of K3NiB.

```
K3NiB
1.0
-0.744 -4.533 -3.623
4.730 1.643 -3.026
3.362 -3.314 3.456
Ni K B
1 3 1
Direct
0.500 0.500 0.500
0.000 0.500 0.000
0.000 0.000 0.500
0.500 0.000 0.000
0.000 0.000 0.000
```

Output
Energy relative to the lowest polymorph listed for this composition ... 0.00 eV per formula unit
Total magnetic moment ... 4.04 μB per formula unit
Calculated density ... 1.5 g/cm3
DFT formation energy ... 116 kJ/mol of atoms
Symmetry ... No. 221

Record 8
VASP calculation (meta-GGA SCAN) on a PBEsol-optimized structure of K2NiBRh.

```
K2NiBRh
1.0
4.365 0.000 0.000
0.000 5.847 0.000
0.000 0.000 5.847
Ni K B Rh
1 2 1 1
Direct
0.500 0.000 0.000
0.000 0.000 0.500
0.000 0.500 0.000
0.500 0.500 0.500
0.000 0.000 0.000
```

Output
Total magnetic moment ... 0.30 μB per formula unit
Calculated density ... 2.8 g/cm3
DFT formation energy ... 157 kJ/mol of atoms
Symmetry ... No. 123

Record 9
VASP calculation (meta-GGA SCAN) on a PBEsol-optimized structure of KBO2.

```
KBO2
1.0
-5.436 -1.389 4.618
-1.957 -2.772 -6.950
-1.020 -7.660 0.306
K B O
6 6 12
Direct
0.810 0.121 0.440
0.250 0.440 0.440
0.690 0.440 0.121
0.190 0.879 0.560
0.750 0.560 0.560
0.310 0.560 0.879
0.864 0.228 0.886
0.136 0.772 0.114
0.250 0.114 0.114
0.364 0.114 0.772
0.750 0.886 0.886
0.636 0.886 0.228
0.859 0.109 0.782
0.750 0.109 0.109
0.359 0.218 0.891
0.641 0.782 0.109
0.141 0.891 0.218
0.250 0.891 0.891
0.532 0.782 0.436
0.750 0.782 0.782
0.968 0.436 0.782
0.468 0.218 0.564
0.250 0.218 0.218
0.032 0.564 0.218
```

Output
Total magnetic moment ... 0.00 μB per formula unit
Calculated density ... 2.4 g/cm3
Symmetry ... No. 167
ΔE_f (raw) ... -2.499 eV/atom

Record 10
VASP calculation (meta-GGA SCAN) on a PBEsol-optimized structure of KB3O5.

```
KB3O5
1.0
6.527 0.001 -0.002
0.599 6.499 -0.002
1.647 1.503 8.829
K B O
4 12 20
Direct
0.419 0.746 0.056
0.254 0.581 0.444
0.581 0.254 0.944
0.746 0.419 0.556
0.208 0.206 0.262
0.794 0.792 0.238
0.792 0.794 0.738
0.206 0.208 0.762
0.568 0.085 0.318
0.915 0.432 0.182
0.432 0.915 0.682
0.085 0.568 0.818
0.882 0.966 0.435
0.034 0.118 0.065
0.118 0.034 0.565
0.966 0.882 0.935
0.095 0.067 0.399
0.933 0.905 0.101
0.905 0.933 0.601
0.067 0.095 0.899
0.218 0.113 0.127
0.887 0.782 0.373
0.782 0.887 0.873
0.113 0.218 0.627
0.588 0.909 0.252
0.091 0.412 0.248
0.412 0.091 0.748
0.909 0.588 0.752
0.411 0.236 0.297
0.764 0.589 0.203
0.589 0.764 0.703
0.236 0.411 0.797
0.711 0.117 0.406
0.883 0.289 0.094
0.289 0.883 0.594
0.117 0.711 0.906
```

Output
Total magnetic moment ... 0.00 μB per formula unit
Calculated density ... 2.7 g/cm3
Symmetry ... No. 15
ΔE_f (raw) ... -2.623 eV/atom

Record 11
VASP calculation (meta-GGA SCAN) on a PBEsol-optimized structure of K2B4O7.

```
K2B4O7
1.0
-3.571 -5.385 0.559
6.799 -6.812 -0.569
-0.388 -1.403 10.317
K B O
8 16 28
Direct
0.752 0.003 0.407
0.248 0.997 0.593
0.208 0.373 0.498
0.792 0.627 0.502
0.663 0.521 0.125
0.337 0.479 0.875
0.633 0.125 0.039
0.367 0.875 0.961
0.667 0.299 0.544
0.333 0.701 0.456
0.132 0.191 0.840
0.868 0.809 0.160
0.125 0.445 0.188
0.875 0.555 0.812
0.190 0.091 0.270
0.810 0.909 0.730
0.549 0.152 0.729
0.451 0.848 0.271
0.883 0.300 0.314
0.117 0.700 0.686
0.058 0.225 0.093
0.942 0.775 0.907
0.811 0.313 0.747
0.189 0.687 0.253
0.851 0.257 0.188
0.043 0.187 0.360
0.322 0.680 0.588
0.678 0.320 0.412
0.029 0.566 0.699
0.957 0.813 0.640
0.320 0.989 0.324
0.680 0.011 0.676
0.653 0.874 0.186
0.347 0.126 0.814
0.349 0.768 0.196
0.651 0.232 0.804
0.233 0.555 0.170
0.767 0.445 0.830
0.488 0.775 0.394
0.512 0.225 0.606
0.202 0.648 0.391
0.798 0.352 0.609
0.963 0.764 0.263
0.037 0.236 0.737
0.173 0.347 0.086
0.827 0.653 0.914
0.202 0.100 0.137
0.798 0.900 0.863
0.012 0.200 0.966
0.988 0.800 0.034
0.971 0.434 0.301
0.149 0.743 0.812
```

Output
Total magnetic moment ... 0.00 μB per formula unit
Calculated density ... 2.5 g/cm3
Symmetry ... No. 2
ΔE_f (raw) ... -2.607 eV/atom

Record 12
VASP calculation (meta-GGA SCAN) on a PBEsol-optimized structure of KZnBP2O8.

```
KZnBP2O8
1.0
8.438 0.005 0.005
-0.141 8.992 -0.024
-0.141 -0.106 8.991
K Zn B P O
4 4 4 8 32
Direct
0.750 0.968 0.032
0.250 0.032 0.968
0.250 0.403 0.597
0.750 0.597 0.403
0.438 0.687 0.065
0.062 0.935 0.313
0.938 0.065 0.687
0.562 0.313 0.935
0.573 0.206 0.426
0.927 0.574 0.794
0.427 0.794 0.574
0.073 0.426 0.206
0.940 0.310 0.949
0.408 0.391 0.226
0.908 0.226 0.391
0.092 0.774 0.609
0.440 0.949 0.310
0.592 0.609 0.774
0.060 0.690 0.051
0.560 0.051 0.690
0.765 0.567 0.733
0.085 0.903 0.720
0.568 0.076 0.328
0.005 0.198 0.533
0.983 0.423 0.825
0.017 0.577 0.175
0.276 0.010 0.334
0.776 0.334 0.010
0.995 0.802 0.467
0.967 0.154 0.885
0.235 0.433 0.267
0.735 0.267 0.433
0.585 0.720 0.903
0.432 0.924 0.672
0.970 0.376 0.327
0.517 0.175 0.577
0.224 0.666 0.990
0.530 0.673 0.624
0.932 0.672 0.924
0.533 0.115 0.846
0.265 0.733 0.567
0.505 0.533 0.198
0.470 0.327 0.376
0.724 0.990 0.666
0.495 0.467 0.802
0.467 0.885 0.154
0.068 0.328 0.076
0.030 0.624 0.673
0.033 0.846 0.115
0.915 0.097 0.280
0.415 0.280 0.097
0.483 0.825 0.423
```

Output
Total magnetic moment ... 0.00 μB per formula unit
Calculated density ... 3.0 g/cm3
Symmetry ... No. 15
ΔE_f (raw) ... -2.457 eV/atom